No. 1
An optimized crystal structure of Nd5Dy2Th2, computed with PBE.

CIF file:
```
data_Nd5Dy2Th2
_cell_length_a 6.156
_cell_length_b 6.867
_cell_length_c 8.627
_cell_angle_alpha 78.57
_cell_angle_beta 69.47
_cell_angle_gamma 64.46
_symmetry_space_group_name_H-M 'P -1'
_symmetry_Int_Tables_number 2
loop_
_symmetry_equiv_pos_as_xyz
'x,y,z'
'-x,-y,-z'
loop_
_atom_site_label
_atom_site_fract_x
_atom_site_fract_y
_atom_site_fract_z
_atom_site_occupancy
Nd1 0.000 0.000 0.000 1
Nd2 0.394 0.684 0.655 1
Nd3 0.494 0.868 0.237 1
Dy1 0.189 0.429 0.126 1
Th1 0.041 0.232 0.548 1
```

Summary:
Calculated formation energy   0.114 eV per atom
Calculated total energy   -5.2068 eV/atom


No. 2
An optimized crystal structure of NaTlSb2, computed with PBE.

CIF file:
```
data_NaTlSb2
_cell_length_a 6.871
_cell_length_b 5.620
_cell_length_c 12.931
_cell_angle_alpha 90.00
_cell_angle_beta 90.00
_cell_angle_gamma 90.00
_symmetry_space_group_name_H-M 'P n m a'
_symmetry_Int_Tables_number 62
loop_
_symmetry_equiv_pos_as_xyz
'x,y,z'
'-x,-y,-z'
'-x+1/2,-y,z+1/2'
'x+1/2,y,-z+1/2'
'x+1/2,-y+1/2,-z+1/2'
'-x+1/2,y+1/2,z+1/2'
'-x,y+1/2,-z'
'x,-y+1/2,z'
loop_
_atom_site_label
_atom_site_fract_x
_atom_site_fract_y
_atom_site_fract_z
_atom_site_occupancy
Na1 0.250 0.250 0.064 1
Tl1 0.249 0.250 0.352 1
Sb1 0.035 0.750 0.140 1
Sb2 0.036 0.250 0.640 1
```

Summary:
Distance to the lowest polymorph of the same formula   23 meV per atom
E_form (uncorrected)   -12 kJ/mol of atoms
Calculated total energy   -3.1083 eV/atom


No. 3
An optimized crystal structure of MgAl2Si, computed with PBE.

CIF file:
```
data_MgAl2Si
_cell_length_a 3.0441
_cell_length_b 3.0441
_cell_length_c 26.6776
_cell_angle_alpha 90.00
_cell_angle_beta 90.00
_cell_angle_gamma 120.00
_symmetry_space_group_name_H-M 'R -3 m'
_symmetry_Int_Tables_number 166
_symmetry_space_group_name_Hall '-R 3 2"'
loop_
_atom_site_label
_atom_site_fract_x
_atom_site_fract_y
_atom_site_fract_z
_atom_site_occupancy
Mg1 0.0000 0.0000 0.0000 1
Al1 0.0000 0.0000 0.2413 1
Si1 0.0000 0.0000 0.5000 1
```

Summary:
E_form (uncorrected)   14 kJ/mol of atoms
Calculated total energy   -3.4786 eV/atom